Entry from Alexandria via LeMat-Bulk: a geometry-optimized As3SeCl structure (GGA-PBE).

Magnetization, μB per formula unit: 0.0
Total energy, eV for the cell shown: -13.3
DOS(E_F), states/eV per cell: 4.8
SG: No. 221
ΔE to the lowest computed polymorph, meV per atom: 335

```
5
Lattice="-4.346 1.865 -1.328 -1.517 -0.210 4.668 1.715 4.540 0.761" Properties=species:S:1:pos:R:3 pbc="T T T"
As -2.173 0.932 -0.664
As -0.758 -0.105 2.334
As 0.858 2.270 0.381
Cl 0.000 0.000 0.000
Se -2.074 3.098 2.050
```